Record 1
VASP calculation (PBE) on a relaxed structure of Cd2IrO6.

a b c (Å): 5.5501 5.5503 8.8533
angles (deg): 90.00 90.00 90.00
Positions (direct):
Cd 0.0000 0.0000 0.2115
Cd 0.0000 0.0000 0.7885
Cd 0.5000 0.5000 0.2885
Cd 0.5000 0.5000 0.7115
Ir 0.0000 0.5000 0.0000
Ir 0.5000 0.0000 0.5000
O 0.1766 0.2083 0.0000
O 0.1978 0.6396 0.1513
O 0.1978 0.6396 0.8487
O 0.3022 0.1396 0.3487
O 0.3022 0.1396 0.6513
O 0.3234 0.7083 0.5000
O 0.6766 0.2917 0.5000
O 0.6978 0.8604 0.3487
O 0.6978 0.8604 0.6513
O 0.8022 0.3604 0.1513
O 0.8022 0.3604 0.8487
O 0.8234 0.7917 0.0000

Output
For the energy, the calculation gives -0.18717 hartree per atom. The energy above the lowest structure with this stoichiometry comes out at 0.115 eV per formula unit. The calculation puts the total magnetization at 0.00 μB per cell. Its symmetry is No. 58.

***

Record 2
VASP calculation (PBE) on a relaxed structure of CdIr2O.

a b c (Å): 6.1736 6.1736 6.1736
angles (deg): 90.00 90.00 90.00
Positions (direct):
Cd 0.0000 0.0000 0.0000
Cd 0.0000 0.5000 0.5000
Cd 0.5000 0.0000 0.5000
Cd 0.5000 0.5000 0.0000
Ir 0.2500 0.2500 0.2500
Ir 0.2500 0.2500 0.7500
Ir 0.2500 0.7500 0.2500
Ir 0.2500 0.7500 0.7500
Ir 0.7500 0.2500 0.2500
Ir 0.7500 0.2500 0.7500
Ir 0.7500 0.7500 0.2500
Ir 0.7500 0.7500 0.7500
O 0.0000 0.0000 0.5000
O 0.0000 0.5000 0.0000
O 0.5000 0.0000 0.0000
O 0.5000 0.5000 0.5000

Output
For the energy, the calculation gives -0.17608 hartree per atom. The energy above the lowest structure with this stoichiometry comes out at 3.056 eV per formula unit. The calculation puts the total magnetization at 0.02 μB per cell. Its symmetry is No. 225.

***

Record 3
VASP calculation (PBE) on a relaxed structure of Cd2Ir2O.

a b c (Å): 5.7238 5.7238 4.9391
angles (deg): 90.00 90.00 90.00
Positions (direct):
Cd 0.1722 0.3278 0.0000
Cd 0.3278 0.8278 0.0000
Cd 0.6722 0.1722 0.0000
Cd 0.8278 0.6722 0.0000
Ir 0.1655 0.6655 0.5000
Ir 0.3345 0.1655 0.5000
Ir 0.6655 0.8345 0.5000
Ir 0.8345 0.3345 0.5000
O 0.0000 0.0000 0.5000
O 0.5000 0.5000 0.5000

Output
For the energy, the calculation gives -0.16816 hartree per atom. The energy above the lowest structure with this stoichiometry comes out at 0.000 eV per formula unit. The calculation puts the total magnetization at 0.00 μB per cell. Its symmetry is No. 127.

***

Record 4
VASP calculation (PBE) on a relaxed structure of Cd3IrO4.

a b c (Å): 4.5097 9.7521 4.8712
angles (deg): 90.00 90.00 90.00
Positions (direct):
Cd 0.2500 0.0055 0.2430
Cd 0.2500 0.4945 0.2430
Cd 0.2500 0.7500 0.7264
Cd 0.7500 0.2500 0.2736
Cd 0.7500 0.5055 0.7570
Cd 0.7500 0.9945 0.7570
Ir 0.2500 0.2500 0.7188
Ir 0.7500 0.7500 0.2812
O 0.2500 0.0351 0.7371
O 0.2500 0.2500 0.1346
O 0.2500 0.4649 0.7371
O 0.2500 0.7500 0.2274
O 0.7500 0.2500 0.7726
O 0.7500 0.5351 0.2629
O 0.7500 0.7500 0.8654
O 0.7500 0.9649 0.2629

Output
For the energy, the calculation gives -0.16669 hartree per atom. The calculation puts the total magnetization at 0.00 μB per cell. Its symmetry is No. 59.

***

Record 5
VASP calculation (PBE) on a relaxed structure of CdIrO.

a b c (Å): 10.5094 10.4573 4.2511
angles (deg): 78.99 77.61 23.39
Positions (direct):
Cd 0.0520 0.0520 0.1980
Cd 0.1980 0.1980 0.0520
Cd 0.8020 0.8020 0.9480
Cd 0.9480 0.9480 0.8020
Ir 0.2904 0.2904 0.4596
Ir 0.4596 0.4596 0.2904
Ir 0.5404 0.5404 0.7096
Ir 0.7096 0.7096 0.5404
O 0.1843 0.5657 0.1843
O 0.4343 0.8157 0.4343
O 0.5657 0.1843 0.5657
O 0.8157 0.4343 0.8157

Output
For the energy, the calculation gives -0.18228 hartree per atom. The calculation puts the total magnetization at 0.00 μB per cell. Its symmetry is No. 70.

***

Record 6
VASP calculation (PBE) on a relaxed structure of Cd3IrO.

a b c (Å): 4.4802 4.4802 4.4802
angles (deg): 90.00 90.00 90.00
Positions (direct):
Cd 0.0000 0.0000 0.5000
Cd 0.0000 0.5000 0.0000
Cd 0.5000 0.0000 0.0000
Ir 0.5000 0.5000 0.5000
O 0.0000 0.0000 0.0000

Output
For the energy, the calculation gives -0.11818 hartree per atom. The energy above the lowest structure with this stoichiometry comes out at 0.000 eV per formula unit. The calculation puts the total magnetization at 0.00 μB per cell. Its symmetry is No. 221.

***

Results for ρ: 6.25; 14.48; 12.83; 9.20; 11.76; 10.07 (in g cm⁻³, following the order of the records).
Results for raw formation energy: -600; 1108; 326; -606; -49; 97 (in meV/atom, following the order of the records).